# 1
A geometry-optimized Ba2AsW structure, computed with PBE-GGA.

Lattice parameters (Å, degrees): 5.3545 5.3545 4.4936 90.00 90.00 90.00
With the nearest neighbours (Å) after each atom.
Sites, in units of the cell vectors:
Ba  0.0000  0.5000  0.0000  4 As 3.50, 4 W 3.50, 4 Ba 3.79
Ba  0.5000  0.0000  0.0000  4 As 3.50, 4 W 3.50, 4 Ba 3.79
As  0.0000  0.0000  0.5000  8 Ba 3.50, 4 W 3.79
W  0.5000  0.5000  0.5000  8 Ba 3.50, 4 As 3.79

Output
* mass density: 6.9 Mg/m³
* energy of formation: 0.684 eV per atom
* crystal system: tetragonal
* uncorrected energy: -4.678 eV/atom

# 2
A geometry-optimized Ba2AsW structure, computed with PBE-GGA.

Lattice parameters (Å, degrees): 5.4565 5.4565 5.4565 60.00 60.00 60.00
With the nearest neighbours (Å) after each atom.
Sites, in units of the cell vectors:
Ba  0.0000  0.0000  0.0000  4 Ba 3.34, 4 As 3.34
Ba  0.2500  0.2500  0.2500  4 W 3.34, 4 Ba 3.34
As  0.7500  0.7500  0.7500  4 W 3.34, 4 Ba 3.34
W  0.5000  0.5000  0.5000  4 As 3.34, 4 Ba 3.34

Output
* mass density: 7.7 Mg/m³
* energy of formation: 0.860 eV per atom
* crystal system: cubic
* uncorrected energy: -4.502 eV/atom

# 3
A geometry-optimized BaAsW2 structure, computed with PBE-GGA.

Lattice parameters (Å, degrees): 6.2985 6.2985 6.2985 153.79 129.26 57.99
With the nearest neighbours (Å) after each atom.
Sites, in units of the cell vectors:
Ba  0.0000  0.0000  0.0000  2 Ba 2.86, 4 As 3.05
As  0.5000  0.5000  0.0000  4 W 2.70, 2 As 2.86
W  0.2922  0.7922  0.5000  2 As 2.70, 2 W 2.86
W  0.7078  0.2078  0.5000  2 As 2.70, 2 W 2.86

Output
* mass density: 11.3 Mg/m³
* energy of formation: 0.935 eV per atom
* crystal system: orthorhombic
* uncorrected energy: -7.185 eV/atom

# 4
A geometry-optimized BaAs2W2 structure, computed with PBE-GGA.

Lattice parameters (Å, degrees): 5.7491 5.7491 5.7491 129.18 129.18 74.73
With the nearest neighbours (Å) after each atom.
Sites, in units of the cell vectors:
Ba  0.0000  0.0000  0.0000  8 As 3.36, 10 W 3.41-3.68
As  0.2500  0.7500  0.5000  4 W 2.71
As  0.7500  0.2500  0.5000  4 W 2.71
W  0.3726  0.3726  0.0000  1 W 2.33
W  0.6274  0.6274  0.0000  1 W 2.33

Output
* mass density: 9.8 Mg/m³
* energy of formation: 0.039 eV per atom
* crystal system: tetragonal
* uncorrected energy: -7.386 eV/atom

# 5
A geometry-optimized BaAsW2 structure, computed with PBE-GGA.

Lattice parameters (Å, degrees): 6.3948 6.3948 2.8466 102.68 102.68 123.52
With the nearest neighbours (Å) after each atom.
Sites, in units of the cell vectors:
Ba  0.0000  0.0000  0.0000  2 Ba 2.85, 4 As 3.03-3.04
As  0.5000  0.5000  0.0000  2 As 2.85, 4 Ba 3.03-3.04
W  0.0000  0.5000  0.5000  6 W 2.85-3.04
W  0.5000  0.0000  0.5000  6 W 2.85-3.04

Output
* mass density: 11.2 Mg/m³
* energy of formation: 1.247 eV per atom
* crystal system: monoclinic
* uncorrected energy: -6.873 eV/atom

# 6
A geometry-optimized Ba2AsW structure, computed with PBE-GGA.

Lattice parameters (Å, degrees): 6.3631 6.3631 5.7495 111.06 111.06 35.11
With the nearest neighbours (Å) after each atom.
Sites, in units of the cell vectors:
Ba  0.0000  0.0000  0.0000  3 As 3.48-3.52, 4 Ba 3.57-3.84, 4 W 3.57-3.74
Ba  0.1888  0.1888  0.6513  1 W 3.32, 4 As 3.50-3.61, 2 Ba 3.57-3.58
As  0.7620  0.7620  0.1979  2 W 2.48
W  0.3932  0.3932  0.3962  2 As 2.48

Output
* mass density: 7.1 Mg/m³
* energy of formation: 0.289 eV per atom
* crystal system: monoclinic
* uncorrected energy: -5.073 eV/atom